DFT (PBE-GGA) results for a relaxed structure of ZnSiNi.

Unit cell a=3.9805 b=3.9805 c=2.8744 alpha=90.00 beta=90.00 gamma=120.00
Last column: nearest neighbours and their distance in Å.
Atoms (fractional coordinates):
Ni 0.0000 0.0000 0.1669  3 Si 2.30
Zn 0.3333 0.6667 0.6670  6 Si 2.71, 6 Ni 2.71, 2 Zn 2.87
Si 0.6667 0.3333 0.1661  3 Ni 2.30

Results
formation energy without anion corrections: -8 kJ/mol of atoms

---

DFT (PBE-GGA) results for a relaxed structure of CsPIrO.

Unit cell a=3.7235 b=3.7235 c=7.3248 alpha=90.00 beta=90.00 gamma=120.00
Last column: nearest neighbours and their distance in Å.
Atoms (fractional coordinates):
P 0.0000 0.0000 0.4336  1 O 1.56
Ir 0.3333 0.6667 0.5422  3 P 2.29
Cs 0.6667 0.3333 0.9639  3 O 2.86
O 0.0000 0.0000 0.2206  1 P 1.56

Results
formation energy without anion corrections: -88 kJ/mol of atoms
distance to the lowest polymorph of the same formula: 7 meV/atom